# 1
First-principles (PBE-GGA) data for Nb2VInN after structural relaxation, as listed in Alexandria.

Properties
Space group: No. 123
DFT total energy: -42.53 eV/cell
Density of states at the Fermi level: 4.15 states/eV/cell

a b c (Å): 4.4307 4.4307 3.8765
angles (deg): 90.00 90.00 90.00
Closest atoms and distances in Å follow each position.
Sites, in units of the cell vectors:
Nb 0.0000 0.5000 0.0000  2 N 2.22
Nb 0.5000 0.0000 0.0000  2 N 2.22
V 0.0000 0.0000 0.5000  2 N 1.94
In 0.5000 0.5000 0.5000  8 Nb 2.94, 4 V 3.13
N 0.0000 0.0000 0.0000  2 V 1.94



# 2
First-principles (PBE-GGA) data for NbZnIn2N4 after structural relaxation, as listed in Alexandria.

Properties
Space group: No. 121
DFT total energy: -51.08 eV/cell
Density of states at the Fermi level: 2.32 states/eV/cell

a b c (Å): 6.0918 6.0918 6.0918
angles (deg): 132.48 132.48 69.47
Closest atoms and distances in Å follow each position.
Sites, in units of the cell vectors:
Nb 0.0000 0.0000 0.0000  4 N 1.99
Zn 0.5000 0.5000 0.0000  4 N 2.14
In 0.2500 0.7500 0.5000  4 N 2.22
In 0.7500 0.2500 0.5000  4 N 2.22
N 0.1247 0.1247 0.4742  1 Nb 1.99, 1 Zn 2.14, 2 In 2.22
N 0.3495 0.8753 0.0000  1 Nb 1.99, 1 Zn 2.14, 2 In 2.22
N 0.6505 0.6505 0.5258  1 Nb 1.99, 1 Zn 2.14, 2 In 2.22
N 0.8753 0.3495 0.0000  1 Nb 1.99, 1 Zn 2.14, 2 In 2.22



# 3
First-principles (PBE-GGA) data for Zr2NbInN after structural relaxation, as listed in Alexandria.

Properties
Space group: No. 123
DFT total energy: -41.79 eV/cell
Density of states at the Fermi level: 4.60 states/eV/cell

a b c (Å): 4.6436 4.6436 4.1637
angles (deg): 90.00 90.00 90.00
Closest atoms and distances in Å follow each position.
Sites, in units of the cell vectors:
Zr 0.0000 0.5000 0.0000  2 N 2.32
Zr 0.5000 0.0000 0.0000  2 N 2.32
Nb 0.0000 0.0000 0.5000  2 N 2.08
In 0.5000 0.5000 0.5000  8 Zr 3.12, 4 Nb 3.28
N 0.0000 0.0000 0.0000  2 Nb 2.08, 4 Zr 2.32



# 4
First-principles (PBE-GGA) data for Nd9In3N2 after structural relaxation, as listed in Alexandria.

Properties
Space group: No. 164
DFT total energy: -77.13 eV/cell
Density of states at the Fermi level: 9.32 states/eV/cell

a b c (Å): 7.1427 7.1427 8.7451
angles (deg): 90.00 90.00 120.00
Closest atoms and distances in Å follow each position.
Sites, in units of the cell vectors:
Nd 0.0000 0.5000 0.0000  2 N 2.54
Nd 0.1703 0.3405 0.6718  1 N 2.45
Nd 0.1703 0.8297 0.6718  1 N 2.45
Nd 0.3405 0.1703 0.3282  1 N 2.45
Nd 0.5000 0.0000 0.0000  2 N 2.54
Nd 0.5000 0.5000 0.0000  2 N 2.54
Nd 0.6595 0.8297 0.6718  1 N 2.45
Nd 0.8297 0.1703 0.3282  1 N 2.45
Nd 0.8297 0.6595 0.3282  1 N 2.45
In 0.0000 0.0000 0.0000  12 Nd 3.56-3.57
In 0.3333 0.6667 0.3333  12 Nd 3.57-3.58
In 0.6667 0.3333 0.6667  12 Nd 3.57-3.58
N 0.3333 0.6667 0.8302  6 Nd 2.45-2.54
N 0.6667 0.3333 0.1698  6 Nd 2.45-2.54



# 5
First-principles (PBE-GGA) data for NdInN after structural relaxation, as listed in Alexandria.

Properties
Space group: No. 107
DFT total energy: -17.67 eV/cell
Density of states at the Fermi level: 1.19 states/eV/cell

a b c (Å): 6.4028 6.4028 6.4028
angles (deg): 148.71 148.71 44.84
Closest atoms and distances in Å follow each position.
Sites, in units of the cell vectors:
Nd 0.0000 0.0000 0.0000  4 N 2.48
In 0.2740 0.2740 0.0000  1 N 2.22
N 0.4613 0.4613 0.0000  1 In 2.22



# 6
First-principles (PBE-GGA) data for NdInN after structural relaxation, as listed in Alexandria.

Properties
Space group: No. 139
DFT total energy: -36.21 eV/cell
Density of states at the Fermi level: 1.63 states/eV/cell

a b c (Å): 10.8365 10.8365 10.8365
angles (deg): 160.85 160.85 27.22
Closest atoms and distances in Å follow each position.
Sites, in units of the cell vectors:
Nd 0.1905 0.1905 0.0000  5 N 2.40-2.55
Nd 0.8095 0.8095 0.0000  5 N 2.40-2.55
In 0.4235 0.4235 0.0000  1 N 2.51
In 0.5765 0.5765 0.0000  1 N 2.51
N 0.3044 0.3044 0.0000  5 Nd 2.40-2.55, 1 In 2.51
N 0.6956 0.6956 0.0000  5 Nd 2.40-2.55, 1 In 2.51



# 7
First-principles (PBE-GGA) data for Nd4In2N after structural relaxation, as listed in Alexandria.

Properties
Space group: No. 65
DFT total energy: -35.61 eV/cell
Polymorph energy (0 for the lowest one): 1.74 eV per formula unit
Density of states at the Fermi level: 6.66 states/eV/cell

a b c (Å): 12.3132 12.3132 3.5089
angles (deg): 90.00 90.00 155.59
Closest atoms and distances in Å follow each position.
Sites, in units of the cell vectors:
Nd 0.0677 0.9323 0.0000  2 N 2.39
Nd 0.2036 0.7964 0.5000  4 In 3.30, 4 Nd 3.43-3.51
Nd 0.7964 0.2036 0.5000  4 In 3.30, 4 Nd 3.43-3.51
Nd 0.9323 0.0677 0.0000  2 N 2.39
In 0.3389 0.6611 0.0000  6 Nd 3.30-3.44, 2 In 3.51
In 0.6611 0.3389 0.0000  6 Nd 3.30-3.44, 2 In 3.51
N 0.0000 0.0000 0.5000  4 Nd 2.39



# 8
First-principles (PBE-GGA) data for Nd7In2N after structural relaxation, as listed in Alexandria.

Properties
Space group: No. 225
DFT total energy: -47.67 eV/cell
Density of states at the Fermi level: 9.48 states/eV/cell

a b c (Å): 7.4559 7.4559 7.4559
angles (deg): 60.00 60.00 60.00
Closest atoms and distances in Å follow each position.
Sites, in units of the cell vectors:
Nd 0.0000 0.0000 0.0000  6 Nd 2.84
Nd 0.2693 0.2693 0.7307  1 N 2.43
Nd 0.2693 0.7307 0.2693  1 N 2.43
Nd 0.2693 0.7307 0.7307  1 N 2.43
Nd 0.7307 0.2693 0.2693  1 N 2.43
Nd 0.7307 0.2693 0.7307  1 N 2.43
Nd 0.7307 0.7307 0.2693  1 N 2.43
In 0.2500 0.2500 0.2500  12 Nd 3.73
In 0.7500 0.7500 0.7500  12 Nd 3.73
N 0.5000 0.5000 0.5000  6 Nd 2.43



# 9
First-principles (PBE-GGA) data for Nd4In2N after structural relaxation, as listed in Alexandria.

Properties
Space group: No. 139
DFT total energy: -37.35 eV/cell
Polymorph energy (0 for the lowest one): 0.00 eV per formula unit
Density of states at the Fermi level: 4.71 states/eV/cell

a b c (Å): 8.8688 8.8688 8.8688
angles (deg): 147.45 147.45 46.70
Closest atoms and distances in Å follow each position.
Sites, in units of the cell vectors:
Nd 0.0000 0.5000 0.5000  2 N 2.49
Nd 0.1627 0.1627 0.0000  1 N 2.65
Nd 0.5000 0.0000 0.5000  2 N 2.49
Nd 0.8373 0.8373 0.0000  1 N 2.65
In 0.3633 0.3633 0.0000  9 Nd 3.27-3.54
In 0.6367 0.6367 0.0000  9 Nd 3.27-3.54
N 0.0000 0.0000 0.0000  6 Nd 2.49-2.65



# 10
First-principles (PBE-GGA) data for Nd4InPbN after structural relaxation, as listed in Alexandria.

Properties
Space group: No. 63
DFT total energy: -77.69 eV/cell
Density of states at the Fermi level: 5.37 states/eV/cell

a b c (Å): 9.0229 9.0229 6.9854
angles (deg): 90.00 90.00 134.47
Closest atoms and distances in Å follow each position.
Sites, in units of the cell vectors:
Nd 0.0000 0.5000 0.0000  2 N 2.47
Nd 0.0000 0.5000 0.5000  2 N 2.47
Nd 0.0869 0.9131 0.7500  1 N 2.73
Nd 0.4107 0.5893 0.7500  1 N 2.66
Nd 0.5000 0.0000 0.0000  2 N 2.47
Nd 0.5000 0.0000 0.5000  2 N 2.47
Nd 0.5893 0.4107 0.2500  1 N 2.66
Nd 0.9131 0.0869 0.2500  1 N 2.73
In 0.1115 0.8885 0.2500  9 Nd 3.30-3.52
In 0.8885 0.1115 0.7500  9 Nd 3.30-3.52
Pb 0.3925 0.6075 0.2500  9 Nd 3.28-3.51
Pb 0.6075 0.3925 0.7500  9 Nd 3.28-3.51
N 0.2507 0.7493 0.7500  6 Nd 2.47-2.73
N 0.7493 0.2507 0.2500  6 Nd 2.47-2.73



# 11
First-principles (PBE-GGA) data for Pm2NdInN4 after structural relaxation, as listed in Alexandria.

Properties
Space group: No. 10
DFT total energy: -57.86 eV/cell
Density of states at the Fermi level: 0.04 states/eV/cell

a b c (Å): 6.2163 3.5700 6.2276
angles (deg): 90.00 111.21 90.00
Closest atoms and distances in Å follow each position.
Sites, in units of the cell vectors:
Pm 0.0000 0.0000 0.0000  6 N 2.46-2.54
Pm 0.5000 0.5000 0.0000  6 N 2.50-2.56
Nd 0.0000 0.5000 0.5000  6 N 2.52-2.58
In 0.5000 0.0000 0.5000  6 N 2.47-2.67
N 0.2412 0.0000 0.7622  3 Pm 2.46-2.50, 2 Nd 2.52, 1 In 2.67
N 0.2581 0.5000 0.2564  2 In 2.47, 3 Pm 2.54-2.56, 1 Nd 2.58
N 0.7419 0.5000 0.7436  2 In 2.47, 3 Pm 2.54-2.56, 1 Nd 2.58
N 0.7588 0.0000 0.2378  3 Pm 2.46-2.50, 2 Nd 2.52, 1 In 2.67